(1)
Compound: Pr2Zn15Au2
Source: OQMD
Functional: GGA-PBE
Structure: optimized geometry

Geometry as POSCAR:
```
Pr2Zn15Au2
1.0
4.5462 2.6248 4.4586
-4.5462 2.6248 4.4586
0.0000 -5.2495 4.4586
Au Pr Zn
2 2 15
Direct
0.1089 0.1089 0.1089
0.8911 0.8911 0.8911
0.3402 0.3402 0.3402
0.6598 0.6598 0.6598
0.5000 0.0000 0.0000
0.7082 0.2918 0.0000
0.0000 0.5000 0.0000
0.2918 0.7082 0.0000
0.6496 0.6496 0.1623
0.7082 0.0000 0.2918
0.0000 0.7082 0.2918
0.8377 0.3504 0.3504
0.3504 0.8377 0.3504
0.0000 0.0000 0.5000
0.6496 0.1623 0.6496
0.1623 0.6496 0.6496
0.2918 0.0000 0.7082
0.0000 0.2918 0.7082
0.3504 0.3504 0.8377
```

Calculated values
The value obtained for the formation energy is -0.304 eV/atom.

(2)
Compound: PrZn2Au2
Source: OQMD
Functional: GGA-PBE
Structure: optimized geometry

Geometry as POSCAR:
```
PrZn2Au2
1.0
-2.0619 2.0619 6.1472
2.0619 -2.0619 6.1472
2.0619 2.0619 -6.1472
Au Pr Zn
2 1 2
Direct
0.3865 0.3865 0.0000
0.6135 0.6135 0.0000
0.0000 0.0000 0.0000
0.7500 0.2500 0.5000
0.2500 0.7500 0.5000
```

Calculated values
The value obtained for the formation energy is -0.544 eV/atom.

(3)
Compound: PrZrAu
Source: OQMD
Functional: GGA-PBE
Structure: optimized geometry

Geometry as POSCAR:
```
PrZrAu
1.0
0.0004 -4.6695 -1.1368
-2.8417 -1.6157 -3.5229
1.9197 -1.4610 -4.1565
Au Pr Zr
1 1 1
Direct
0.2500 0.2500 0.2500
0.7500 0.7500 0.7500
0.0000 0.0000 0.0000
```

Calculated values
The value obtained for the formation energy is 0.276 eV/atom.

(4)
Compound: Pt2Au3
Source: OQMD
Functional: GGA-PBE
Structure: optimized geometry

Geometry as POSCAR:
```
Pt2Au3
1.0
-0.2689 1.6644 4.1458
0.9020 -4.3404 -0.6147
5.3219 1.1208 -0.1048
Au Pt
3 2
Direct
0.0000 0.0000 0.0000
0.6667 0.3333 0.3643
0.3333 0.6667 0.6357
0.3333 0.6667 0.1407
0.6667 0.3333 0.8593
```

Calculated values
The value obtained for the formation energy is 0.167 eV/atom.

(5)
Compound: Pu3Pt2Au
Source: OQMD
Functional: GGA-PBE
Structure: optimized geometry

Geometry as POSCAR:
```
Pu3Pt2Au
1.0
3.5190 0.0000 0.0000
0.0000 3.5190 0.0000
0.0000 0.0000 10.9212
Au Pt Pu
1 2 3
Direct
0.5000 0.5000 0.5000
0.5000 0.5000 0.1611
0.5000 0.5000 0.8389
0.0000 0.0000 0.0000
0.0000 0.0000 0.3178
0.0000 0.0000 0.6822
```

Calculated values
The value obtained for the formation energy is -0.732 eV/atom.

(6)
Compound: RbPtAu
Source: OQMD
Functional: GGA-PBE
Structure: optimized geometry

Geometry as POSCAR:
```
RbPtAu
1.0
0.0000 3.5374 3.5374
3.5374 0.0000 3.5374
3.5374 3.5374 0.0000
Au Pt Rb
1 1 1
Direct
0.2500 0.2500 0.2500
0.7500 0.7500 0.7500
0.0000 0.0000 0.0000
```

Calculated values
The value obtained for the distance to the lowest polymorph of the same formula is 0.614 eV per atom.

(7)
Compound: Rb2Pt2Au
Source: OQMD
Functional: GGA-PBE
Structure: optimized geometry

Geometry as POSCAR:
```
Rb2Pt2Au
1.0
-2.3374 2.6651 5.4083
2.3374 -2.6651 5.4083
2.3374 2.6651 -5.4083
Au Pt Rb
1 2 2
Direct
0.5000 0.0000 0.5000
0.7571 0.5000 0.2571
0.2429 0.5000 0.7429
0.2044 0.2044 0.0000
0.7956 0.7956 0.0000
```

Calculated values
The uncorrected energy is -3.5865 eV/atom.

(8)
Compound: Rb2PtAu2
Source: OQMD
Functional: GGA-PBE
Structure: optimized geometry

Geometry as POSCAR:
```
Rb2PtAu2
1.0
-2.3900 2.7663 5.3410
2.3900 -2.7663 5.3410
2.3900 2.7663 -5.3410
Au Pt Rb
2 1 2
Direct
0.7520 0.5000 0.2520
0.2480 0.5000 0.7480
0.5000 0.0000 0.5000
0.1990 0.1990 0.0000
0.8010 0.8010 0.0000
```

Calculated values
The uncorrected energy is -3.0900 eV/atom.

(9)
Compound: RbPtAu
Source: OQMD
Functional: GGA-PBE
Structure: optimized geometry

Geometry as POSCAR:
```
RbPtAu
1.0
4.8726 -0.1287 0.3371
2.1515 -3.0635 3.1398
2.4627 -3.8763 -1.6680
Au Pt Rb
1 1 1
Direct
0.2500 0.2500 0.2500
0.0000 0.0000 0.0000
0.7500 0.7500 0.7500
```

Calculated values
The value obtained for the distance to the lowest polymorph of the same formula is 0.000 eV per atom.

(10)
Compound: RbPtAu3S4
Source: OQMD
Functional: GGA-PBE
Structure: optimized geometry

Geometry as POSCAR:
```
RbPtAu3S4
1.0
6.2769 0.0000 0.0000
0.0000 6.2769 0.0000
0.0000 0.0000 6.2769
Au Pt Rb S
3 1 1 4
Direct
0.5000 0.0000 0.0000
0.0000 0.5000 0.0000
0.0000 0.0000 0.5000
0.0000 0.0000 0.0000
0.5000 0.5000 0.5000
0.7857 0.2143 0.2143
0.2143 0.7857 0.2143
0.2143 0.2143 0.7857
0.7857 0.7857 0.7857
```

Calculated values
The uncorrected energy is -3.6265 eV/atom.

(11)
Compound: RbPtAuS3
Source: OQMD
Functional: GGA-PBE
Structure: optimized geometry

Geometry as POSCAR:
```
RbPtAuS3
1.0
8.1094 -1.8471 0.0000
8.1094 1.8471 0.0000
0.0000 0.0000 9.9485
Au Pt Rb S
2 2 2 6
Direct
0.3954 0.3954 0.2500
0.6046 0.6046 0.7500
0.0000 0.0000 0.0000
0.0000 0.0000 0.5000
0.7162 0.7162 0.2500
0.2838 0.2838 0.7500
0.4043 0.4043 0.0186
0.0443 0.0443 0.2500
0.4043 0.4043 0.4814
0.5956 0.5956 0.5186
0.9557 0.9557 0.7500
0.5956 0.5956 0.9814
```

Calculated values
The uncorrected energy is -4.1147 eV/atom.

(12)
Compound: RbPtAuSe2S
Source: OQMD
Functional: GGA-PBE
Structure: optimized geometry

Geometry as POSCAR:
```
RbPtAuSe2S
1.0
1.9361 -7.9824 0.0000
1.9361 7.9824 0.0000
0.0000 0.0000 10.4383
Au Pt Rb S Se
2 2 2 2 4
Direct
0.0977 0.9023 0.2500
0.9023 0.0977 0.7500
0.5000 0.5000 0.0000
0.5000 0.5000 0.5000
0.7798 0.2202 0.2500
0.2202 0.7798 0.7500
0.4651 0.5349 0.2500
0.5349 0.4651 0.7500
0.1021 0.8979 0.0158
0.1021 0.8979 0.4842
0.8979 0.1021 0.5158
0.8979 0.1021 0.9842
```

Calculated values
The uncorrected energy is -3.8817 eV/atom.

(13)
Compound: RbPtAuSeS2
Source: OQMD
Functional: GGA-PBE
Structure: optimized geometry

Geometry as POSCAR:
```
RbPtAuSeS2
1.0
1.8216 -8.2717 0.0000
1.8216 8.2717 0.0000
0.0000 0.0000 10.3348
Au Pt Rb S Se
2 2 2 4 2
Direct
0.6037 0.3963 0.2500
0.3963 0.6037 0.7500
0.0000 0.0000 0.0000
0.0000 0.0000 0.5000
0.2796 0.7204 0.2500
0.7204 0.2796 0.7500
0.5949 0.4051 0.0247
0.5949 0.4051 0.4753
0.4051 0.5949 0.5247
0.4051 0.5949 0.9753
0.9528 0.0471 0.2500
0.0471 0.9528 0.7500
```

Calculated values
The uncorrected energy is -4.0482 eV/atom.

(14)
Compound: RbTePtAuS2
Source: OQMD
Functional: GGA-PBE
Structure: optimized geometry

Geometry as POSCAR:
```
RbTePtAuS2
1.0
1.8059 -8.5587 0.0000
1.8059 8.5587 0.0000
0.0000 0.0000 10.8217
Au Pt Rb S Te
2 2 2 4 2
Direct
0.5973 0.4027 0.2500
0.4027 0.5973 0.7500
0.0000 0.0000 0.0000
0.0000 0.0000 0.5000
0.2641 0.7359 0.2500
0.7359 0.2641 0.7500
0.5916 0.4084 0.0325
0.5916 0.4084 0.4675
0.4084 0.5916 0.5325
0.4084 0.5916 0.9675
0.9449 0.0551 0.2500
0.0551 0.9449 0.7500
```

Calculated values
The uncorrected energy is -3.9886 eV/atom.

(15)
Compound: RbTe2PtAuS
Source: OQMD
Functional: GGA-PBE
Structure: optimized geometry

Geometry as POSCAR:
```
RbTe2PtAuS
1.0
-6.9247 0.3873 1.2406
5.5574 -4.3209 -0.2908
2.1954 2.0418 11.6161
Au Pt Rb S Te
2 2 2 2 4
Direct
0.0700 0.9300 0.2500
0.9300 0.0700 0.7500
0.5000 0.5000 0.0000
0.5000 0.5000 0.5000
0.7820 0.2180 0.2500
0.2180 0.7820 0.7500
0.4868 0.5132 0.2500
0.5132 0.4868 0.7500
0.1216 0.8784 0.0299
0.1216 0.8784 0.4701
0.8784 0.1216 0.5299
0.8784 0.1216 0.9701
```

Calculated values
The uncorrected energy is -3.7304 eV/atom.

(16)
Compound: RbTePtAuSe2
Source: OQMD
Functional: GGA-PBE
Structure: optimized geometry

Geometry as POSCAR:
```
RbTePtAuSe2
1.0
1.9088 -8.3600 0.0000
1.9088 8.3600 0.0000
0.0000 0.0000 10.9450
Au Pt Rb Se Te
2 2 2 4 2
Direct
0.5993 0.4007 0.2500
0.4007 0.5993 0.7500
0.0000 0.0000 0.0000
0.0000 0.0000 0.5000
0.2657 0.7343 0.2500
0.7343 0.2657 0.7500
0.5994 0.4006 0.0230
0.5994 0.4006 0.4770
0.4006 0.5994 0.5230
0.4006 0.5994 0.9770
0.9516 0.0484 0.2500
0.0484 0.9516 0.7500
```

Calculated values
The uncorrected energy is -3.7883 eV/atom.

(17)
Compound: RbTe2PtAuSe
Source: OQMD
Functional: GGA-PBE
Structure: optimized geometry

Geometry as POSCAR:
```
RbTe2PtAuSe
1.0
2.0403 -8.0477 0.0000
2.0403 8.0477 0.0000
0.0000 0.0000 11.0639
Au Pt Rb Se Te
2 2 2 2 4
Direct
0.5838 0.4162 0.2500
0.4162 0.5838 0.7500
0.0000 0.0000 0.0000
0.0000 0.0000 0.5000
0.2612 0.7388 0.2500
0.7388 0.2612 0.7500
0.9642 0.0358 0.2500
0.0358 0.9642 0.7500
0.6083 0.3917 0.0136
0.6083 0.3917 0.4864
0.3917 0.6083 0.5136
0.3917 0.6083 0.9864
```

Calculated values
The uncorrected energy is -3.6728 eV/atom.

(18)
Compound: RbTe4PtAu3
Source: OQMD
Functional: GGA-PBE
Structure: optimized geometry

Geometry as POSCAR:
```
RbTe4PtAu3
1.0
6.7966 0.0000 0.0000
0.0000 6.7966 0.0000
0.0000 0.0000 6.7966
Au Pt Rb Te
3 1 1 4
Direct
0.5000 0.5000 0.0000
0.5000 0.0000 0.5000
0.0000 0.5000 0.5000
0.5000 0.5000 0.5000
0.0000 0.0000 0.0000
0.2813 0.2813 0.2813
0.7187 0.7187 0.2813
0.7187 0.2813 0.7187
0.2813 0.7187 0.7187
```

Calculated values
The uncorrected energy is -3.3144 eV/atom.

(19)
Compound: Pt3AuS5
Source: OQMD
Functional: GGA-PBE
Structure: optimized geometry

Geometry as POSCAR:
```
Pt3AuS5
1.0
6.6757 0.0000 0.0000
-3.3378 5.7813 0.0000
0.0000 0.0000 5.1510
Au Pt S
1 3 5
Direct
0.0000 0.0000 0.0000
0.5000 0.0000 0.5000
0.0000 0.5000 0.5000
0.5000 0.5000 0.5000
0.6667 0.3333 0.2450
0.3333 0.6667 0.2450
0.0000 0.0000 0.5000
0.6667 0.3333 0.7550
0.3333 0.6667 0.7550
```

Calculated values
The uncorrected energy is -4.5128 eV/atom.

(20)
Compound: TlPtAuSeS2
Source: OQMD
Functional: GGA-PBE
Structure: optimized geometry

Geometry as POSCAR:
```
TlPtAuSeS2
1.0
1.8221 -7.2698 0.0000
1.8221 7.2698 0.0000
0.0000 0.0000 10.5406
Au Pt S Se Tl
2 2 4 2 2
Direct
0.1233 0.8767 0.2500
0.8767 0.1233 0.7500
0.5000 0.5000 0.0000
0.5000 0.5000 0.5000
0.1065 0.8935 0.0250
0.1065 0.8935 0.4750
0.8935 0.1065 0.5250
0.8935 0.1065 0.9750
0.4602 0.5398 0.2500
0.5398 0.4602 0.7500
0.7916 0.2084 0.2500
0.2084 0.7916 0.7500
```

Calculated values
The uncorrected energy is -4.1014 eV/atom.

(21)
Compound: TlPtAuSe2S
Source: OQMD
Functional: GGA-PBE
Structure: optimized geometry

Geometry as POSCAR:
```
TlPtAuSe2S
1.0
1.9171 -6.4651 0.0000
1.9171 6.4651 0.0000
0.0000 0.0000 10.9247
Au Pt S Se Tl
2 2 2 4 2
Direct
0.1365 0.8635 0.2500
0.8635 0.1365 0.7500
0.5000 0.5000 0.0000
0.5000 0.5000 0.5000
0.4834 0.5166 0.2500
0.5166 0.4834 0.7500
0.1257 0.8743 0.0190
0.1257 0.8743 0.4810
0.8743 0.1257 0.5190
0.8743 0.1257 0.9810
0.8114 0.1886 0.2500
0.1886 0.8114 0.7500
```

Calculated values
The uncorrected energy is -3.9686 eV/atom.

(22)
Compound: TlTe2PtAuS
Source: OQMD
Functional: GGA-PBE
Structure: optimized geometry

Geometry as POSCAR:
```
TlTe2PtAuS
1.0
4.8480 4.9714 4.5287
-7.3435 -1.9476 -3.3179
-2.4081 -5.3878 8.4924
Au Pt S Te Tl
2 2 2 4 2
Direct
0.1284 0.8716 0.2500
0.8716 0.1284 0.7500
0.5000 0.5000 0.0000
0.5000 0.5000 0.5000
0.5285 0.4715 0.2500
0.4715 0.5285 0.7500
0.8914 0.1086 0.0103
0.8914 0.1086 0.4897
0.1086 0.8914 0.5103
0.1086 0.8914 0.9897
0.7577 0.2423 0.2500
0.2423 0.7577 0.7500
```

Calculated values
The uncorrected energy is -3.8120 eV/atom.

(23)
Compound: TlTePtAuS2
Source: OQMD
Functional: GGA-PBE
Structure: optimized geometry

Geometry as POSCAR:
```
TlTePtAuS2
1.0
1.7769 -7.9326 0.0000
1.7769 7.9326 0.0000
0.0000 0.0000 10.8155
Au Pt S Te Tl
2 2 4 2 2
Direct
0.8825 0.1175 0.2500
0.1175 0.8825 0.7500
0.5000 0.5000 0.0000
0.5000 0.5000 0.5000
0.8993 0.1007 0.0290
0.8993 0.1007 0.4710
0.1007 0.8993 0.5290
0.1007 0.8993 0.9710
0.5481 0.4519 0.2500
0.4519 0.5481 0.7500
0.2230 0.7770 0.2500
0.7770 0.2230 0.7500
```

Calculated values
The uncorrected energy is -4.0474 eV/atom.